(1)
Computed, not measured: crystalline ThGa3Ir3 at its relaxed geometry at the PBE-GGA level of DFT.

Properties
DOS at the Fermi energy = 4.12 states/eV/f.u.
Formation enthalpy at 0 K = -0.538 eV per atom
Total magnetization = 0.00 Bohr magnetons per cell

Lattice parameters (Å, degrees): 6.7974 6.7974 7.4340 62.79 62.79 60.00
Positions (direct):
1 Th 0.3384 0.3384 0.9849
2 Th 0.6616 0.6616 0.0151
3 Ga 0.5411 0.7421 0.6154
4 Ga 0.7421 0.1013 0.6154
5 Ga 0.1013 0.5411 0.6154
6 Ga 0.8987 0.4589 0.3846
7 Ga 0.2579 0.8987 0.3846
8 Ga 0.4589 0.2579 0.3846
9 Ir 0.1782 0.6906 0.2086
10 Ir 0.9226 0.1782 0.2086
11 Ir 0.6906 0.9226 0.2086
12 Ir 0.3094 0.0774 0.7914
13 Ir 0.0774 0.8218 0.7914
14 Ir 0.8218 0.3094 0.7914

(2)
Computed, not measured: crystalline CeSnPt5 at its relaxed geometry at the PBE-GGA level of DFT.

Properties
DOS at the Fermi energy = 7.14 states/eV/f.u.
Formation enthalpy at 0 K = -0.678 eV per atom
Total magnetization = 1.20 Bohr magnetons per cell

Lattice parameters (Å, degrees): 5.5120 8.7907 10.8862 90.00 90.00 90.00
Positions (direct):
1 Ce 0.2500 0.2489 0.9536
2 Ce 0.7500 0.2511 0.4536
3 Ce 0.2500 0.7489 0.5464
4 Ce 0.7500 0.7511 0.0464
5 Sn 0.2500 0.8482 0.8481
6 Sn 0.7500 0.6518 0.3481
7 Sn 0.2500 0.3482 0.6519
8 Sn 0.7500 0.1518 0.1519
9 Pt 0.2500 0.5923 0.0200
10 Pt 0.7500 0.9077 0.5200
11 Pt 0.2500 0.0923 0.4800
12 Pt 0.7500 0.4077 0.9800
13 Pt 0.7500 0.3196 0.7274
14 Pt 0.2500 0.1804 0.2274
15 Pt 0.7500 0.8196 0.7726
16 Pt 0.2500 0.6804 0.2726
17 Pt 0.2500 0.9254 0.0794
18 Pt 0.7500 0.5746 0.5794
19 Pt 0.2500 0.4254 0.4206
20 Pt 0.7500 0.0746 0.9206
21 Pt 0.9925 0.4356 0.1994
22 Pt 0.0075 0.0644 0.6994
23 Pt 0.5075 0.9356 0.3006
24 Pt 0.4925 0.5644 0.8006
25 Pt 0.0075 0.5644 0.8006
26 Pt 0.9925 0.9356 0.3006
27 Pt 0.4925 0.0644 0.6994
28 Pt 0.5075 0.4356 0.1994